# 1
# K2CdRh | Alexandria via LeMat-Bulk | PBE-GGA | relaxed
data_K2CdRh
_chemical_formula_sum 'K2 Cd1 Rh1'
_symmetry_space_group_name_H-M 'P 1'
_symmetry_Int_Tables_number 1
_cell_length_a 4.669
_cell_length_b 4.669
_cell_length_c 8.517
_cell_angle_alpha 106.07
_cell_angle_beta 106.07
_cell_angle_gamma 59.96
loop_
_symmetry_equiv_pos_as_xyz
'x,y,z'
loop_
_atom_site_label
_atom_site_type_symbol
_atom_site_fract_x
_atom_site_fract_y
_atom_site_fract_z
K1 K 0.000 0.000 0.000
K2 K 0.180 0.180 0.536
Cd1 Cd 0.757 0.757 0.268
Rh1 Rh 0.424 0.424 0.268
# DOS at the Fermi energy = 2.8 states/eV/f.u.
# ΔH_f (0 K) = 0.181 eV per atom
# Space-group type = Cm (8)


# 2
# PmPrTlCd | Alexandria via LeMat-Bulk | PBE-GGA | relaxed
data_PmPrTlCd
_chemical_formula_sum 'Pm1 Pr1 Tl1 Cd1'
_symmetry_space_group_name_H-M 'P 1'
_symmetry_Int_Tables_number 1
_cell_length_a 5.499
_cell_length_b 5.499
_cell_length_c 5.499
_cell_angle_alpha 60.00
_cell_angle_beta 60.00
_cell_angle_gamma 60.00
loop_
_symmetry_equiv_pos_as_xyz
'x,y,z'
loop_
_atom_site_label
_atom_site_type_symbol
_atom_site_fract_x
_atom_site_fract_y
_atom_site_fract_z
Pm1 Pm 0.000 0.000 0.000
Pr1 Pr 0.500 0.500 0.500
Tl1 Tl 0.250 0.250 0.250
Cd1 Cd 0.750 0.750 0.750
# DOS at the Fermi energy = 5.1 states/eV/f.u.
# ΔH_f (0 K) = -0.361 eV per atom
# Space-group type = F-43m (216)


# 3
# CsYCl3 | Alexandria via LeMat-Bulk | PBE-GGA | relaxed
data_CsYCl3
_chemical_formula_sum 'Cs2 Y2 Cl6'
_symmetry_space_group_name_H-M 'P 1'
_symmetry_Int_Tables_number 1
_cell_length_a 11.212
_cell_length_b 11.212
_cell_length_c 6.553
_cell_angle_alpha 90.00
_cell_angle_beta 90.00
_cell_angle_gamma 140.48
loop_
_symmetry_equiv_pos_as_xyz
'x,y,z'
loop_
_atom_site_label
_atom_site_type_symbol
_atom_site_fract_x
_atom_site_fract_y
_atom_site_fract_z
Cs1 Cs 0.180 0.820 0.750
Cs2 Cs 0.820 0.180 0.250
Y1 Y 0.403 0.597 0.750
Y2 Y 0.597 0.403 0.250
Cl1 Cl 0.069 0.418 0.750
Cl2 Cl 0.418 0.069 0.250
Cl3 Cl 0.500 0.500 0.000
Cl4 Cl 0.500 0.500 0.500
Cl5 Cl 0.582 0.931 0.750
Cl6 Cl 0.931 0.582 0.250
# Calculated total energy = -4.32 eV/atom
# DOS at the Fermi energy = 1.6 states/eV/f.u.
# Space-group type = Cmcm (63)


# 4
# Er4MgHg7 | Alexandria via LeMat-Bulk | PBE-GGA | relaxed
data_Er4MgHg7
_chemical_formula_sum 'Er4 Mg1 Hg7'
_symmetry_space_group_name_H-M 'P 1'
_symmetry_Int_Tables_number 1
_cell_length_a 6.924
_cell_length_b 6.924
_cell_length_c 10.709
_cell_angle_alpha 118.26
_cell_angle_beta 118.26
_cell_angle_gamma 44.91
loop_
_symmetry_equiv_pos_as_xyz
'x,y,z'
loop_
_atom_site_label
_atom_site_type_symbol
_atom_site_fract_x
_atom_site_fract_y
_atom_site_fract_z
Er1 Er 0.080 0.080 0.277
Er2 Er 0.234 0.234 0.816
Er3 Er 0.766 0.766 0.184
Er4 Er 0.920 0.920 0.723
Mg1 Mg 0.500 0.500 0.500
Hg1 Hg 0.000 0.000 0.500
Hg2 Hg 0.139 0.139 0.036
Hg3 Hg 0.304 0.304 0.581
Hg4 Hg 0.425 0.425 0.159
Hg5 Hg 0.575 0.575 0.841
Hg6 Hg 0.696 0.696 0.419
Hg7 Hg 0.861 0.861 0.964
# DOS at the Fermi energy = 5.9 states/eV/f.u.
# ΔH_f (0 K) = -0.293 eV per atom
# Space-group type = C2/m (12)


# 5
# MnTl3As | Alexandria via LeMat-Bulk | PBE-GGA | relaxed
data_MnTl3As
_chemical_formula_sum 'Mn1 Tl3 As1'
_symmetry_space_group_name_H-M 'P 1'
_symmetry_Int_Tables_number 1
_cell_length_a 5.240
_cell_length_b 5.240
_cell_length_c 5.240
_cell_angle_alpha 90.00
_cell_angle_beta 90.00
_cell_angle_gamma 90.00
loop_
_symmetry_equiv_pos_as_xyz
'x,y,z'
loop_
_atom_site_label
_atom_site_type_symbol
_atom_site_fract_x
_atom_site_fract_y
_atom_site_fract_z
Mn1 Mn 0.000 0.000 0.000
Tl1 Tl 0.000 0.000 0.500
Tl2 Tl 0.000 0.500 0.000
Tl3 Tl 0.500 0.000 0.000
As1 As 0.500 0.500 0.500
# DOS at the Fermi energy = 3.7 states/eV/f.u.
# ΔH_f (0 K) = 0.545 eV per atom
# Space-group type = Pm-3m (221)


# 6
# TcAu3 | Alexandria via LeMat-Bulk | PBE-GGA | relaxed
data_TcAu3
_chemical_formula_sum 'Tc1 Au3'
_symmetry_space_group_name_H-M 'P 1'
_symmetry_Int_Tables_number 1
_cell_length_a 5.724
_cell_length_b 5.724
_cell_length_c 5.724
_cell_angle_alpha 152.09
_cell_angle_beta 60.68
_cell_angle_gamma 127.30
loop_
_symmetry_equiv_pos_as_xyz
'x,y,z'
loop_
_atom_site_label
_atom_site_type_symbol
_atom_site_fract_x
_atom_site_fract_y
_atom_site_fract_z
Tc1 Tc 0.000 0.000 0.000
Au1 Au 0.391 0.653 0.738
Au2 Au 0.511 0.011 0.500
Au3 Au 0.915 0.653 0.262
# DOS at the Fermi energy = 3.0 states/eV/f.u.
# ΔH_f (0 K) = 0.351 eV per atom
# Space-group type = Imm2 (44)


# 7
# Cu12PdPt6 | Alexandria via LeMat-Bulk | PBE-GGA | relaxed
data_Cu12PdPt6
_chemical_formula_sum 'Cu12 Pd1 Pt6'
_symmetry_space_group_name_H-M 'P 1'
_symmetry_Int_Tables_number 1
_cell_length_a 6.966
_cell_length_b 6.966
_cell_length_c 6.966
_cell_angle_alpha 106.48
_cell_angle_beta 106.48
_cell_angle_gamma 106.48
loop_
_symmetry_equiv_pos_as_xyz
'x,y,z'
loop_
_atom_site_label
_atom_site_type_symbol
_atom_site_fract_x
_atom_site_fract_y
_atom_site_fract_z
Cu1 Cu 0.000 0.390 0.610
Cu2 Cu 0.000 0.610 0.390
Cu3 Cu 0.164 0.164 0.406
Cu4 Cu 0.164 0.406 0.164
Cu5 Cu 0.390 0.000 0.610
Cu6 Cu 0.390 0.610 0.000
Cu7 Cu 0.406 0.164 0.164
Cu8 Cu 0.594 0.836 0.836
Cu9 Cu 0.610 0.000 0.390
Cu10 Cu 0.610 0.390 0.000
Cu11 Cu 0.836 0.594 0.836
Cu12 Cu 0.836 0.836 0.594
Pd1 Pd 0.500 0.500 0.500
Pt1 Pt 0.194 0.194 0.805
Pt2 Pt 0.194 0.805 0.194
Pt3 Pt 0.195 0.806 0.806
Pt4 Pt 0.805 0.194 0.194
Pt5 Pt 0.806 0.195 0.806
Pt6 Pt 0.806 0.806 0.195
# DOS at the Fermi energy = 11.4 states/eV/f.u.
# ΔH_f (0 K) = 0.135 eV per atom
# Space-group type = R-3m (166)


# 8
# Ta2CoNi | Alexandria via LeMat-Bulk | PBE-GGA | relaxed
data_Ta2CoNi
_chemical_formula_sum 'Ta2 Co1 Ni1'
_symmetry_space_group_name_H-M 'P 1'
_symmetry_Int_Tables_number 1
_cell_length_a 2.815
_cell_length_b 3.652
_cell_length_c 5.560
_cell_angle_alpha 90.00
_cell_angle_beta 90.29
_cell_angle_gamma 90.00
loop_
_symmetry_equiv_pos_as_xyz
'x,y,z'
loop_
_atom_site_label
_atom_site_type_symbol
_atom_site_fract_x
_atom_site_fract_y
_atom_site_fract_z
Ta1 Ta 0.000 0.000 0.248
Ta2 Ta 0.000 0.000 0.752
Co1 Co 0.500 0.500 0.000
Ni1 Ni 0.500 0.500 0.500
# DOS at the Fermi energy = 5.2 states/eV/f.u.
# ΔH_f (0 K) = -0.133 eV per atom
# Space-group type = P2/m (10)


The lowest DOS at the Fermi energy belongs to which entry?
CsYCl3


Which value of DOS at the Fermi energy does entry 7 give?
11.4 states/eV/f.u.


DOS at the Fermi energy of number 6 (TcAu3)?
3.0 states/eV/f.u.


Look up the DOS at the Fermi energy of the second one.
5.1 states/eV/f.u.